Entry from OQMD via LeMat-Bulk: a relaxed structure of DySiIr (GGA-PBE).

Values from the calculation:
symmetry = F-43m
E_tot = -6.039 eV/atom
size of the total moment = 0.0011 μB/atom

Cell: 4.566 4.566 4.566 Å, 60.00 60.00 60.00°
Element x y z (fractional)
Dy: 0.000 0.000 0.000
Si: 0.250 0.250 0.250
Ir: 0.750 0.750 0.750